KTl2ZnCu | GGA-PBE | optimized geometry

Unit cell a=5.3424 b=5.3424 c=4.9580 alpha=90.00 beta=90.00 gamma=90.00
Fractional coordinates of all 5 atoms:
K: 0.5000 0.5000 0.5000
Tl: 0.0000 0.5000 0.0000
Tl: 0.5000 0.0000 0.0000
Zn: 0.0000 0.0000 0.5000
Cu: 0.0000 0.0000 0.0000

Calculated values
ΔE_f: 10 kJ/mol of atoms
Size of the total moment: 0.0 μB per formula unit
ρ: 6.8 g/cm³
Calculated volume: 28.30 Å³/atom